VASP calculation (GGA-PBE) on an optimized crystal structure of Rb2Hg4Pt.

Unit cell a=5.3802 b=5.4338 c=8.6373 alpha=108.33 beta=90.00 gamma=90.00
Fractional coordinates of all 7 atoms:
Rb 0.5000 0.6495 0.2990
Rb 0.5000 0.3505 0.7010
Hg 0.0000 0.1728 0.3455
Hg 0.0000 0.5000 0.0000
Hg 0.5000 0.0000 0.0000
Hg 0.0000 0.8272 0.6545
Pt 0.0000 0.0000 0.0000

Properties
Its energy of formation from the pure elements is -0.248 eV per atom. The relative energy among the computed polymorphs comes out at 0.000 eV/atom.